<a>
VASP calculation (PBE) on HoScCl6 after structural relaxation.

Output
Fermi-level density of states   0.00 states/eV per cell

a b c (Å): 7.0891 7.0891 6.3959
angles (deg): 97.43 97.43 126.34
Closest atoms and distances in Å follow each position.
Fractional positions:
Ho 0.0000 0.0000 0.0000  6 Cl 2.63-2.65
Sc 0.5000 0.5000 0.5000  6 Cl 2.50-2.51
Cl 0.1256 0.3995 0.2612  1 Sc 2.51, 1 Ho 2.65
Cl 0.2550 0.2550 0.7430  1 Sc 2.50, 1 Ho 2.63
Cl 0.3995 0.1256 0.2612  1 Sc 2.51, 1 Ho 2.65
Cl 0.6005 0.8744 0.7388  1 Sc 2.51, 1 Ho 2.65
Cl 0.7450 0.7450 0.2570  1 Sc 2.50, 1 Ho 2.63
Cl 0.8744 0.6005 0.7388  1 Sc 2.51, 1 Ho 2.65

<b>
VASP calculation (PBE) on HoScCl6 after structural relaxation.

Output
Fermi-level density of states   0.00 states/eV per cell

a b c (Å): 7.0131 7.0131 7.0131
angles (deg): 55.72 55.72 55.72
Closest atoms and distances in Å follow each position.
Fractional positions:
Ho 0.0000 0.0000 0.0000  6 Cl 2.65
Sc 0.5000 0.5000 0.5000  6 Cl 2.51
Cl 0.1142 0.4012 0.7413  1 Sc 2.51, 1 Ho 2.65
Cl 0.2587 0.8858 0.5988  1 Sc 2.51, 1 Ho 2.65
Cl 0.4012 0.7413 0.1142  1 Sc 2.51, 1 Ho 2.65
Cl 0.5988 0.2587 0.8858  1 Sc 2.51, 1 Ho 2.65
Cl 0.7413 0.1142 0.4012  1 Sc 2.51, 1 Ho 2.65
Cl 0.8858 0.5988 0.2587  1 Sc 2.51, 1 Ho 2.65

Of them, <a> has the highest stability.